(1)
In2Pt8Rh after structural relaxation, computed with GGA-PBE.

Summary:
total magnetization = 0.00 μB per atom
energy of formation = -21.2 kJ per mole of atoms
calculated volume = 17.061 A^3/atom
VASP energy = -5.78 eV/atom

Cell and atoms, written as CIF:
```
data_In2Pt8Rh
_chemical_formula_sum 'In4 Pt16 Rh2'
_symmetry_space_group_name_H-M 'I m m m'
_symmetry_Int_Tables_number 71
_symmetry_space_group_name_Hall '-I 2 2'
_cell_length_a 3.9562
_cell_length_b 8.2022
_cell_length_c 11.5666
_cell_angle_alpha 90.00
_cell_angle_beta 90.00
_cell_angle_gamma 90.00
loop_
_atom_site_label
_atom_site_fract_x
_atom_site_fract_y
_atom_site_fract_z
_atom_site_occupancy
In1 0.0000 0.0000 0.1466 1
Pt1 0.0000 0.2471 0.3368 1
Pt2 0.0000 0.2645 0.0000 1
Pt3 0.0000 0.5000 0.1749 1
Rh1 0.0000 0.0000 0.5000 1
```

(2)
NaPrYSbO6 after structural relaxation, computed with GGA-PBE.

Summary:
total magnetization = 0.00 μB per atom
formation energy without anion corrections = -2.37 eV per atom
calculated volume = 14.371 A^3/atom
VASP energy = -7.01 eV/atom

Cell and atoms, written as CIF:
```
data_NaPrYSbO6
_chemical_formula_sum 'Na4 Pr4 Y4 Sb4 O24'
_symmetry_space_group_name_H-M 'F -4 3 m'
_symmetry_Int_Tables_number 216
_symmetry_space_group_name_Hall 'F -4 2 3'
_cell_length_a 8.3148
_cell_length_b 8.3148
_cell_length_c 8.3148
_cell_angle_alpha 90.00
_cell_angle_beta 90.00
_cell_angle_gamma 90.00
loop_
_atom_site_label
_atom_site_fract_x
_atom_site_fract_y
_atom_site_fract_z
_atom_site_occupancy
Na1 0.0000 0.0000 0.0000 1
Pr1 0.0000 0.0000 0.5000 1
Y1 0.2500 0.2500 0.2500 1
Sb1 0.2500 0.2500 0.7500 1
O1 0.0124 0.2500 0.7500 1
```

(3)
CsK2IO4 after structural relaxation, computed with GGA-PBE.

Summary:
total magnetization = 0.00 μB per atom
formation energy without anion corrections = -1.01 eV per atom
calculated volume = 25.820 A^3/atom
VASP energy = -4.07 eV/atom

Cell and atoms, written as CIF:
```
data_CsK2IO4
_chemical_formula_sum 'Cs2 K4 I2 O8'
_symmetry_space_group_name_H-M 'I -4'
_symmetry_Int_Tables_number 82
_cell_length_a 6.0234
_cell_length_b 6.0234
_cell_length_c 11.3865
_cell_angle_alpha 90.00
_cell_angle_beta 90.00
_cell_angle_gamma 90.00
loop_
_symmetry_equiv_pos_as_xyz
'x,y,z'
'y,-x,-z'
'-x,-y,z'
'-y,x,-z'
'x+1/2,y+1/2,z+1/2'
'y+1/2,-x+1/2,-z+1/2'
'-x+1/2,-y+1/2,z+1/2'
'-y+1/2,x+1/2,-z+1/2'
loop_
_atom_site_label
_atom_site_fract_x
_atom_site_fract_y
_atom_site_fract_z
_atom_site_occupancy
Cs1 0.0000 0.0000 0.0000 1
K1 0.0000 0.0000 0.5000 1
K2 0.0000 0.5000 0.7500 1
I1 0.0000 0.5000 0.2500 1
O1 0.1730 0.7142 0.3456 1
```

(4)
UBeFe2Si2 after structural relaxation, computed with GGA-PBE.

Summary:
total magnetization = 0.70 μB per atom
formation energy without anion corrections = 0.32 eV per atom
calculated volume = 14.270 A^3/atom
VASP energy = -6.81 eV/atom

Cell and atoms, written as CIF:
```
data_UBeFe2Si2
_chemical_formula_sum 'U1 Be1 Fe2 Si2'
_symmetry_space_group_name_H-M 'P 4/m m m'
_symmetry_Int_Tables_number 123
_symmetry_space_group_name_Hall '-P 4 2'
_cell_length_a 4.1475
_cell_length_b 4.1475
_cell_length_c 4.9773
_cell_angle_alpha 90.00
_cell_angle_beta 90.00
_cell_angle_gamma 90.00
loop_
_atom_site_label
_atom_site_fract_x
_atom_site_fract_y
_atom_site_fract_z
_atom_site_occupancy
U1 0.0000 0.0000 0.0000 1
Be1 0.0000 0.0000 0.5000 1
Fe1 0.5000 0.5000 0.2336 1
Si1 0.0000 0.5000 0.5000 1
```

(5)
Ga2HgTe after structural relaxation, computed with GGA-PBE.

Summary:
total magnetization = 0.00 μB per atom
formation energy without anion corrections = -0.05 eV per atom
calculated volume = 27.034 A^3/atom
VASP energy = -2.43 eV/atom

Cell and atoms, written as CIF:
```
data_Ga2HgTe
_chemical_formula_sum 'Ga6 Hg3 Te3'
_symmetry_space_group_name_H-M 'R 3 m'
_symmetry_Int_Tables_number 160
_symmetry_space_group_name_Hall 'R 3 -2"'
_cell_length_a 4.1220
_cell_length_b 4.1220
_cell_length_c 22.0469
_cell_angle_alpha 90.00
_cell_angle_beta 90.00
_cell_angle_gamma 120.00
loop_
_atom_site_label
_atom_site_fract_x
_atom_site_fract_y
_atom_site_fract_z
_atom_site_occupancy
Ga1 0.0000 0.0000 0.0000 1
Ga2 0.0000 0.0000 0.1729 1
Hg1 0.0000 0.0000 0.4171 1
Te1 0.0000 0.0000 0.5874 1
```

(6)
Pm2MgTi after structural relaxation, computed with GGA-PBE.

Summary:
total magnetization = 0.46 μB per atom
energy of formation = 14.0 kJ per mole of atoms
calculated volume = 27.032 A^3/atom
VASP energy = -4.60 eV/atom

Cell and atoms, written as CIF:
```
data_Pm2MgTi
_chemical_formula_sum 'Pm8 Mg4 Ti4'
_symmetry_space_group_name_H-M 'F m -3 m'
_symmetry_Int_Tables_number 225
_symmetry_space_group_name_Hall '-F 4 2 3'
_cell_length_a 7.5625
_cell_length_b 7.5625
_cell_length_c 7.5625
_cell_angle_alpha 90.00
_cell_angle_beta 90.00
_cell_angle_gamma 90.00
loop_
_atom_site_label
_atom_site_fract_x
_atom_site_fract_y
_atom_site_fract_z
_atom_site_occupancy
Pm1 0.2500 0.2500 0.2500 1
Mg1 0.0000 0.0000 0.0000 1
Ti1 0.0000 0.0000 0.5000 1
```

(7)
SrTcRu2 after structural relaxation, computed with GGA-PBE.

Summary:
total magnetization = 0.00 μB per atom
energy of formation = 55.7 kJ per mole of atoms
calculated volume = 19.797 A^3/atom
VASP energy = -7.07 eV/atom

Cell and atoms, written as CIF:
```
data_SrTcRu2
_chemical_formula_sum 'Sr2 Tc2 Ru4'
_symmetry_space_group_name_H-M 'C 1 2/m 1'
_symmetry_Int_Tables_number 12
_cell_length_a 8.8833
_cell_length_b 2.9159
_cell_length_c 6.1951
_cell_angle_alpha 90.00
_cell_angle_beta 99.26
_cell_angle_gamma 90.00
loop_
_symmetry_equiv_pos_as_xyz
'x,y,z'
'-x,-y,-z'
'-x,y,-z'
'x,-y,z'
'x+1/2,y+1/2,z'
'-x+1/2,-y+1/2,-z'
'-x+1/2,y+1/2,-z'
'x+1/2,-y+1/2,z'
loop_
_atom_site_label
_atom_site_fract_x
_atom_site_fract_y
_atom_site_fract_z
_atom_site_occupancy
Sr1 0.0000 0.0000 0.0000 1
Tc1 0.0000 0.5000 0.5000 1
Ru1 0.2309 0.0000 0.6607 1
```

(8)
La4TbZn5 after structural relaxation, computed with GGA-PBE.

Summary:
total magnetization = 0.00 μB per atom
energy of formation = -30.1 kJ per mole of atoms
calculated volume = 25.875 A^3/atom
VASP energy = -3.38 eV/atom

Cell and atoms, written as CIF:
```
data_La4TbZn5
_chemical_formula_sum 'La4 Tb1 Zn5'
_symmetry_space_group_name_H-M 'P 4/m m m'
_symmetry_Int_Tables_number 123
_symmetry_space_group_name_Hall '-P 4 2'
_cell_length_a 3.7246
_cell_length_b 3.7246
_cell_length_c 18.6522
_cell_angle_alpha 90.00
_cell_angle_beta 90.00
_cell_angle_gamma 90.00
loop_
_atom_site_label
_atom_site_fract_x
_atom_site_fract_y
_atom_site_fract_z
_atom_site_occupancy
La1 0.0000 0.0000 0.1018 1
La2 0.0000 0.0000 0.3062 1
Tb1 0.0000 0.0000 0.5000 1
Zn1 0.5000 0.5000 0.0000 1
Zn2 0.5000 0.5000 0.2029 1
Zn3 0.5000 0.5000 0.4120 1
```

(9)
Sm3Al4Au7 after structural relaxation, computed with GGA-PBE.

Summary:
total magnetization = 0.00 μB per atom
energy of formation = -66.0 kJ per mole of atoms
calculated volume = 20.301 A^3/atom
VASP energy = -4.40 eV/atom

Cell and atoms, written as CIF:
```
data_Sm3Al4Au7
_chemical_formula_sum 'Sm6 Al8 Au14'
_symmetry_space_group_name_H-M 'C 1 2/m 1'
_symmetry_Int_Tables_number 12
_cell_length_a 16.5038
_cell_length_b 4.4174
_cell_length_c 9.5220
_cell_angle_alpha 90.00
_cell_angle_beta 125.03
_cell_angle_gamma 90.00
loop_
_symmetry_equiv_pos_as_xyz
'x,y,z'
'-x,-y,-z'
'-x,y,-z'
'x,-y,z'
'x+1/2,y+1/2,z'
'-x+1/2,-y+1/2,-z'
'-x+1/2,y+1/2,-z'
'x+1/2,-y+1/2,z'
loop_
_atom_site_label
_atom_site_fract_x
_atom_site_fract_y
_atom_site_fract_z
_atom_site_occupancy
Sm1 0.0000 0.0000 0.0000 1
Sm2 0.1819 0.5000 0.6763 1
Al1 0.1279 0.0000 0.8487 1
Al2 0.1743 0.5000 0.3115 1
Au1 0.0000 0.0000 0.5000 1
Au2 0.0017 0.5000 0.7300 1
Au3 0.1399 0.0000 0.4029 1
Au4 0.1840 0.5000 0.0522 1
```

(10)
HfBe2Ru after structural relaxation, computed with GGA-PBE.

Summary:
total magnetization = 0.00 μB per atom
energy of formation = -25.0 kJ per mole of atoms
calculated volume = 12.700 A^3/atom
VASP energy = -6.93 eV/atom

Cell and atoms, written as CIF:
```
data_HfBe2Ru
_chemical_formula_sum 'Hf4 Be8 Ru4'
_symmetry_space_group_name_H-M 'F m -3 m'
_symmetry_Int_Tables_number 225
_symmetry_space_group_name_Hall '-F 4 2 3'
_cell_length_a 5.8791
_cell_length_b 5.8791
_cell_length_c 5.8791
_cell_angle_alpha 90.00
_cell_angle_beta 90.00
_cell_angle_gamma 90.00
loop_
_atom_site_label
_atom_site_fract_x
_atom_site_fract_y
_atom_site_fract_z
_atom_site_occupancy
Hf1 0.0000 0.0000 0.0000 1
Be1 0.2500 0.2500 0.2500 1
Ru1 0.0000 0.0000 0.5000 1
```

(11)
HoHfOsPt after structural relaxation, computed with GGA-PBE.

Summary:
total magnetization = 0.00 μB per atom
energy of formation = -68.5 kJ per mole of atoms
calculated volume = 18.925 A^3/atom
VASP energy = -8.66 eV/atom

Cell and atoms, written as CIF:
```
data_HoHfOsPt
_chemical_formula_sum 'Ho4 Hf4 Os4 Pt4'
_symmetry_space_group_name_H-M 'F -4 3 m'
_symmetry_Int_Tables_number 216
_symmetry_space_group_name_Hall 'F -4 2 3'
_cell_length_a 6.7151
_cell_length_b 6.7151
_cell_length_c 6.7151
_cell_angle_alpha 90.00
_cell_angle_beta 90.00
_cell_angle_gamma 90.00
loop_
_atom_site_label
_atom_site_fract_x
_atom_site_fract_y
_atom_site_fract_z
_atom_site_occupancy
Ho1 0.0000 0.0000 0.0000 1
Hf1 0.0000 0.0000 0.5000 1
Os1 0.2500 0.2500 0.2500 1
Pt1 0.2500 0.2500 0.7500 1
```

The highest VASP energy belongs to which entry? Ga2HgTe

What did the second record say?
NaPrYSbO6 after structural relaxation, computed with GGA-PBE.

Summary:
total magnetization = 0.00 μB per atom
formation energy without anion corrections = -2.37 eV per atom
calculated volume = 14.371 A^3/atom
VASP energy = -7.01 eV/atom

Cell and atoms, written as CIF:
```
data_NaPrYSbO6
_chemical_formula_sum 'Na4 Pr4 Y4 Sb4 O24'
_symmetry_space_group_name_H-M 'F -4 3 m'
_symmetry_Int_Tables_number 216
_symmetry_space_group_name_Hall 'F -4 2 3'
_cell_length_a 8.3148
_cell_length_b 8.3148
_cell_length_c 8.3148
_cell_angle_alpha 90.00
_cell_angle_beta 90.00
_cell_angle_gamma 90.00
loop_
_atom_site_label
_atom_site_fract_x
_atom_site_fract_y
_atom_site_fract_z
_atom_site_occupancy
Na1 0.0000 0.0000 0.0000 1
Pr1 0.0000 0.0000 0.5000 1
Y1 0.2500 0.2500 0.2500 1
Sb1 0.2500 0.2500 0.7500 1
O1 0.0124 0.2500 0.7500 1
```

Among the records above, which one has the lowest VASP energy? HoHfOsPt